# PBE-GGA Pr4NdCo, relaxed
# - DFT formation energy (eV/atom) = 0.03
# - crystal system = monoclinic
# - energy above the lowest structure with this stoichiometry (meV per atom) = 0
# - DOS at the Fermi energy (states/eV per cell) = 34.385
data_Pr4NdCo
_cell_length_a 18.142
_cell_length_b 7.436
_cell_length_c 6.119
_cell_angle_alpha 90.00
_cell_angle_beta 109.69
_cell_angle_gamma 90.00
_space_group_name_H-M_alt 'C 1 2/m 1'
_space_group_IT_number 12
_space_group_name_Hall '-C 2y'
loop_
_atom_site_label
_atom_site_type_symbol
_atom_site_fract_x
_atom_site_fract_y
_atom_site_fract_z
Pr1 Pr 0.000 0.238 0.000
Pr2 Pr 0.118 0.249 0.618
Pr3 Pr 0.174 0.500 0.174
Nd1 Nd 0.197 0.000 0.198
Co1 Co 0.001 0.500 0.683